1.
Entry from Alexandria via LeMat-Bulk: a relaxed structure of La4Nd2Tl (PBE-GGA).

Lattice parameters (Å, degrees): 11.240 6.726 9.295 136.19 90.00 90.00
Positions (direct):
La  0.652  0.071  0.558
La  0.746  0.347  0.105
La  0.848  0.571  0.558
La  0.348  0.929  0.442
La  0.246  0.153  0.895
La  0.152  0.429  0.442
La  0.754  0.847  0.105
La  0.254  0.653  0.895
Nd  0.041  0.739  0.253
Nd  0.541  0.761  0.747
Nd  0.459  0.239  0.253
Nd  0.959  0.261  0.747
Tl  0.500  0.500  0.000
Tl  0.000  0.000  0.000

calculated total energy	-0.1670	Ha/atom
calculated formation energy	-0.03	eV/atom
density of states at the Fermi level	22.6	states/eV per cell
ΔE to the lowest computed polymorph	0	meV per atom

2.
Entry from Alexandria via LeMat-Bulk: a relaxed structure of La2NdTl (PBE-GGA).

Lattice parameters (Å, degrees): 5.715 5.715 5.715 60.00 60.00 60.00
Positions (direct):
Tl  0.500  0.500  0.500
La  0.750  0.750  0.750
La  0.250  0.250  0.250
Nd  0.000  0.000  0.000

calculated total energy	-0.1593	Ha/atom
calculated formation energy	-0.09	eV/atom
density of states at the Fermi level	5.8	states/eV per cell
ΔE to the lowest computed polymorph	141	meV per atom

3.
Entry from Alexandria via LeMat-Bulk: a relaxed structure of La2Nd2Tl (PBE-GGA).

Lattice parameters (Å, degrees): 13.998 6.705 6.920 122.00 140.15 75.05
Positions (direct):
La  0.198  0.573  0.038
La  0.345  0.098  0.223
La  0.655  0.902  0.777
La  0.802  0.427  0.962
Nd  0.939  0.039  0.668
Nd  0.453  0.262  0.977
Nd  0.547  0.738  0.023
Nd  0.061  0.961  0.332
Tl  0.187  0.497  0.493
Tl  0.813  0.503  0.507

calculated total energy	-0.1655	Ha/atom
calculated formation energy	-0.15	eV/atom
density of states at the Fermi level	12.4	states/eV per cell
ΔE to the lowest computed polymorph	0	meV per atom

4.
Entry from Alexandria via LeMat-Bulk: a relaxed structure of La3Nd12Tl (PBE-GGA).

Lattice parameters (Å, degrees): 5.136 5.136 20.959 90.00 90.00 90.00
Positions (direct):
Nd  0.000  0.500  0.119
Nd  0.500  0.500  0.756
Nd  0.000  0.500  0.627
Nd  0.500  0.500  0.000
Nd  0.000  0.500  0.881
Nd  0.500  0.000  0.119
Nd  0.500  0.000  0.881
Nd  0.500  0.000  0.373
Nd  0.500  0.500  0.244
Nd  0.000  0.500  0.373
Nd  0.500  0.000  0.627
Nd  0.500  0.500  0.500
La  0.000  0.000  0.753
La  0.000  0.000  0.500
La  0.000  0.000  0.247
Tl  0.000  0.000  0.000

calculated total energy	-0.1718	Ha/atom
calculated formation energy	-0.03	eV/atom
density of states at the Fermi level	23.1	states/eV per cell

5.
Entry from Alexandria via LeMat-Bulk: a relaxed structure of La2NdTl (PBE-GGA).

Lattice parameters (Å, degrees): 4.879 4.689 11.958 90.00 101.82 90.00
Positions (direct):
La  0.428  0.750  0.857
La  0.572  0.250  0.143
La  0.947  0.250  0.894
La  0.053  0.750  0.106
Tl  0.833  0.750  0.667
Tl  0.167  0.250  0.333
Nd  0.302  0.250  0.605
Nd  0.698  0.750  0.395

calculated total energy	-0.1615	Ha/atom
calculated formation energy	-0.15	eV/atom
density of states at the Fermi level	11.6	states/eV per cell
ΔE to the lowest computed polymorph	81	meV per atom

6.
Entry from Alexandria via LeMat-Bulk: a relaxed structure of La2Nd6Tl (PBE-GGA).

Lattice parameters (Å, degrees): 3.638 10.580 9.928 122.20 100.58 90.00
Positions (direct):
Tl  0.000  0.000  0.000
Nd  0.823  0.985  0.647
Nd  0.823  0.662  0.647
Nd  0.177  0.338  0.353
Nd  0.500  0.297  0.000
Nd  0.500  0.703  0.000
Nd  0.177  0.015  0.353
La  0.150  0.651  0.302
La  0.850  0.349  0.698

calculated total energy	-0.1667	Ha/atom
calculated formation energy	0.00	eV/atom
density of states at the Fermi level	12.6	states/eV per cell
ΔE to the lowest computed polymorph	0	meV per atom

7.
Entry from Alexandria via LeMat-Bulk: a relaxed structure of La12Nd7Tl (PBE-GGA).

Lattice parameters (Å, degrees): 8.922 8.922 8.922 89.87 89.87 89.87
Positions (direct):
La  0.118  0.733  0.267
La  0.733  0.882  0.267
La  0.501  0.383  0.856
La  0.882  0.267  0.733
La  0.499  0.617  0.144
La  0.617  0.144  0.499
La  0.144  0.499  0.617
La  0.856  0.501  0.383
La  0.733  0.267  0.118
La  0.267  0.733  0.882
La  0.267  0.118  0.733
La  0.383  0.856  0.501
Nd  0.934  0.854  0.621
Nd  0.379  0.066  0.146
Nd  0.854  0.621  0.934
Nd  0.621  0.934  0.854
Nd  0.500  0.500  0.500
Nd  0.146  0.379  0.066
Nd  0.066  0.146  0.379
Tl  0.000  0.000  0.000

calculated total energy	-0.1705	Ha/atom
calculated formation energy	0.10	eV/atom
density of states at the Fermi level	34.8	states/eV per cell

8.
Entry from Alexandria via LeMat-Bulk: a relaxed structure of LaNd4Tl (PBE-GGA).

Lattice parameters (Å, degrees): 5.852 6.635 11.195 90.00 105.15 90.00
Positions (direct):
Tl  0.604  0.954  0.207
Tl  0.396  0.454  0.793
Nd  0.749  0.099  0.499
Nd  0.251  0.599  0.501
Nd  0.458  0.896  0.917
Nd  0.939  0.214  0.878
Nd  0.687  0.569  0.374
Nd  0.313  0.069  0.626
Nd  0.061  0.714  0.122
Nd  0.542  0.396  0.083
La  0.135  0.202  0.270
La  0.865  0.702  0.730

calculated total energy	-0.1613	Ha/atom
calculated formation energy	0.01	eV/atom
density of states at the Fermi level	18.3	states/eV per cell
ΔE to the lowest computed polymorph	112	meV per atom

9.
Entry from Alexandria via LeMat-Bulk: a relaxed structure of La2NdTl (PBE-GGA).

Lattice parameters (Å, degrees): 3.756 3.756 9.637 90.00 90.00 90.00
Positions (direct):
La  0.000  0.000  0.228
La  0.000  0.000  0.772
Tl  0.500  0.500  0.000
Nd  0.500  0.500  0.500

calculated total energy	-0.1626	Ha/atom
calculated formation energy	-0.18	eV/atom
density of states at the Fermi level	4.2	states/eV per cell
ΔE to the lowest computed polymorph	51	meV per atom

10.
Entry from Alexandria via LeMat-Bulk: a relaxed structure of LaNd14Tl (PBE-GGA).

Lattice parameters (Å, degrees): 7.282 7.282 10.345 90.00 90.00 90.00
Positions (direct):
Nd  0.375  0.625  0.500
Nd  0.375  0.125  0.000
Nd  0.875  0.625  0.500
Nd  0.128  0.872  0.754
Nd  0.622  0.872  0.754
Nd  0.128  0.378  0.754
Nd  0.375  0.125  0.500
Nd  0.875  0.625  0.000
Nd  0.875  0.125  0.500
Nd  0.622  0.872  0.246
Nd  0.128  0.872  0.246
Nd  0.128  0.378  0.246
Nd  0.622  0.378  0.753
Nd  0.622  0.378  0.247
Tl  0.375  0.625  0.000
La  0.875  0.125  0.000

calculated total energy	-0.1709	Ha/atom
calculated formation energy	-0.02	eV/atom
density of states at the Fermi level	19.9	states/eV per cell

11.
Entry from Alexandria via LeMat-Bulk: a relaxed structure of La3Nd8Tl2 (PBE-GGA).

Lattice parameters (Å, degrees): 6.647 6.647 12.655 74.77 74.77 60.00
Positions (direct):
Nd  0.284  0.284  0.148
Nd  0.716  0.716  0.852
Nd  0.228  0.719  0.334
Nd  0.719  0.719  0.334
Nd  0.281  0.281  0.666
Nd  0.719  0.228  0.334
Nd  0.772  0.281  0.666
Nd  0.281  0.772  0.666
Tl  0.631  0.631  0.108
Tl  0.369  0.369  0.892
La  0.809  0.809  0.572
La  0.000  0.000  0.000
La  0.191  0.191  0.428

calculated total energy	-0.1592	Ha/atom
calculated formation energy	0.10	eV/atom
density of states at the Fermi level	20.6	states/eV per cell

12.
Entry from Alexandria via LeMat-Bulk: a relaxed structure of La8Nd3Tl (PBE-GGA).

Lattice parameters (Å, degrees): 8.603 8.603 8.603 92.54 118.54 118.54
Positions (direct):
La  0.510  0.267  0.267
La  0.000  0.877  0.621
La  0.000  0.733  0.243
La  0.000  0.243  0.733
La  0.256  0.379  0.379
La  0.000  0.621  0.877
La  0.744  0.123  0.123
La  0.490  0.757  0.757
Nd  0.500  0.250  0.750
Nd  0.000  0.500  0.500
Nd  0.500  0.750  0.250
Tl  0.000  0.000  0.000

calculated total energy	-0.1589	Ha/atom
calculated formation energy	0.35	eV/atom
density of states at the Fermi level	21.1	states/eV per cell

Among the records above, which one has the highest calculated formation energy? La8Nd3Tl